DyCrAsO5 | PBE with a Hubbard U | optimized geometry

```
16
Lattice="3.234 -4.717 0.000 3.234 4.717 0.000 -2.653 0.000 7.478" Properties=species:S:1:pos:R:3 pbc="T T T"
Dy 0.000 0.000 0.000
Dy -1.327 0.000 3.739
Cr 1.244 1.798 5.608
Cr 2.571 -1.798 1.869
As 2.571 1.762 1.869
As 1.244 -1.762 5.608
O 1.348 2.873 2.444
O 1.244 3.737 5.608
O 2.077 0.758 0.583
O 3.794 2.873 1.295
O 0.750 -0.758 4.322
O 3.065 0.758 3.156
O 0.021 -2.873 6.183
O 1.738 -0.758 6.895
O 2.571 -3.737 1.869
O 2.467 -2.873 5.034
```

**Crystal system**: monoclinic
**Uncorrected energy**: -0.266 hartree per atom
**M_tot**: 8.00 μB/cell
**V**: 14.261 A^3/atom